Entry 1:
Computed, not measured: crystalline Tm2Sc4In at its relaxed geometry at the PBE level of DFT.

Unit cell a=11.3179 b=6.0647 c=5.9042 alpha=115.47 beta=90.00 gamma=90.00
Fractional coordinates of all 14 atoms:
Tm 0.4462 0.1028 0.2922
Tm 0.0538 0.6028 0.2922
Tm 0.5538 0.8972 0.7078
Tm 0.9462 0.3972 0.7078
Sc 0.3231 0.6492 0.4067
Sc 0.2347 0.6852 0.9047
Sc 0.1769 0.1492 0.4067
Sc 0.7347 0.8148 0.0953
Sc 0.8231 0.8508 0.5933
Sc 0.6769 0.3508 0.5933
Sc 0.7653 0.3148 0.0953
Sc 0.2653 0.1852 0.9047
In 0.0000 0.0000 0.0000
In 0.5000 0.5000 0.0000

Values from the calculation:
density	5.74	g cm⁻³
formation energy from the elements	0.02	eV/atom
raw total energy	-5.2676	eV per atom
M_tot	0.00	Bohr magnetons per cell

Entry 2:
Computed, not measured: crystalline TmSc3In2 at its relaxed geometry at the PBE level of DFT.

Unit cell a=3.2980 b=8.2853 c=21.6317 alpha=90.00 beta=90.00 gamma=90.00
Fractional coordinates of all 24 atoms:
In 0.2500 0.0756 0.7049
In 0.2500 0.5756 0.7951
In 0.2500 0.6491 0.5929
In 0.2500 0.1491 0.9071
In 0.7500 0.8509 0.0929
In 0.7500 0.3509 0.4071
In 0.7500 0.9244 0.2951
In 0.7500 0.4244 0.2049
Sc 0.2500 0.7321 0.2029
Sc 0.2500 0.8271 0.9754
Sc 0.2500 0.2321 0.2971
Sc 0.7500 0.8783 0.8432
Sc 0.7500 0.1729 0.0246
Sc 0.2500 0.1217 0.1568
Sc 0.2500 0.6217 0.3432
Sc 0.7500 0.6729 0.4754
Sc 0.7500 0.7679 0.7029
Sc 0.7500 0.2679 0.7971
Sc 0.2500 0.3271 0.5246
Sc 0.7500 0.3783 0.6568
Tm 0.7500 0.5001 0.9271
Tm 0.7500 0.0001 0.5729
Tm 0.2500 0.9999 0.4271
Tm 0.2500 0.4999 0.0729

Values from the calculation:
density	5.99	g cm⁻³
formation energy from the elements	-0.26	eV/atom
raw total energy	-5.0813	eV per atom
M_tot	0.00	Bohr magnetons per cell

Entry 3:
Computed, not measured: crystalline Tm3Sc2In at its relaxed geometry at the PBE level of DFT.

Unit cell a=5.9974 b=6.7163 c=8.6951 alpha=90.00 beta=110.17 gamma=90.00
Each line ends with the local moment (μB).
Fractional coordinates of all 12 atoms:
Tm 0.7764 0.7499 0.6224  0.10
Tm 0.1843 0.7500 0.0000  0.00
Tm 0.8461 0.2499 0.6224  0.10
Tm 0.1539 0.7501 0.3776  0.10
Tm 0.8157 0.2500 0.0000  0.00
Tm 0.2236 0.2501 0.3776  0.10
Sc 0.6366 0.5000 0.2731  0.10
Sc 0.3634 0.5000 0.7269  0.10
Sc 0.3635 0.0000 0.7269  0.10
Sc 0.6365 0.0000 0.2731  0.10
In 0.6942 0.7500 0.0000  0.00
In 0.3058 0.2500 0.0000  0.00

Values from the calculation:
density	7.19	g cm⁻³
formation energy from the elements	-0.10	eV/atom
raw total energy	-4.9069	eV per atom
M_tot	1.19	Bohr magnetons per cell

Entry 4:
Computed, not measured: crystalline Tm2Sc4In at its relaxed geometry at the PBE level of DFT.

Unit cell a=5.3559 b=5.8995 c=7.0338 alpha=114.79 beta=90.00 gamma=90.00
Each line ends with the local moment (μB).
Fractional coordinates of all 7 atoms:
Sc 0.5000 0.3715 0.7431  0.11
Sc 0.0000 0.2616 0.5232  0.10
Sc 0.5000 0.6285 0.2569  0.11
Sc 0.0000 0.7384 0.4768  0.10
Tm 0.5000 0.8739 0.7479  0.10
Tm 0.5000 0.1261 0.2521  0.10
In 0.0000 0.5000 0.0000  0.00

Values from the calculation:
density	5.21	g cm⁻³
formation energy from the elements	0.49	eV/atom
raw total energy	-4.7979	eV per atom
M_tot	0.79	Bohr magnetons per cell

Entry 5:
Computed, not measured: crystalline Tm2ScIn at its relaxed geometry at the PBE level of DFT.

Unit cell a=3.5215 b=3.5215 c=8.6304 alpha=90.00 beta=90.00 gamma=90.00
Fractional coordinates of all 4 atoms:
Tm 0.0000 0.0000 0.2411
Tm 0.0000 0.0000 0.7589
Sc 0.5000 0.5000 0.5000
In 0.5000 0.5000 0.0000

Values from the calculation:
density	7.72	g cm⁻³
formation energy from the elements	-0.23	eV/atom
raw total energy	-4.7304	eV per atom
M_tot	0.00	Bohr magnetons per cell

Entry 6:
Computed, not measured: crystalline TmSc2In3 at its relaxed geometry at the PBE level of DFT.

Unit cell a=4.6581 b=8.5469 c=8.5469 alpha=109.65 beta=105.82 gamma=105.82
Each line ends with the local moment (μB).
Fractional coordinates of all 12 atoms:
In 0.4942 0.1597 0.3290  -0.01
In 0.0000 0.0000 0.5000  -0.01
In 0.5058 0.8403 0.6710  -0.01
In 0.0058 0.6710 0.8403  -0.01
In 0.5000 0.5000 0.0000  -0.01
In 0.9942 0.3290 0.1597  -0.01
Sc 0.7500 0.2480 0.7520  0.27
Sc 0.2500 0.0836 0.9164  0.26
Sc 0.2500 0.7520 0.2480  0.27
Sc 0.7500 0.9164 0.0836  0.26
Tm 0.2500 0.4149 0.5851  0.19
Tm 0.7500 0.5851 0.4149  0.19

Values from the calculation:
density	7.10	g cm⁻³
formation energy from the elements	-0.42	eV/atom
raw total energy	-4.6474	eV per atom
M_tot	1.89	Bohr magnetons per cell

Entry 7:
Computed, not measured: crystalline TmSc7In4 at its relaxed geometry at the PBE level of DFT.

Unit cell a=5.2998 b=8.7572 c=7.3476 alpha=76.12 beta=68.86 gamma=72.39
Fractional coordinates of all 12 atoms:
In 0.4336 0.7658 0.3670
In 0.6834 0.6658 0.9675
In 0.3166 0.3342 0.0325
In 0.5664 0.2342 0.6330
Sc 0.9392 0.3942 0.7274
Sc 0.7146 0.3464 0.2244
Sc 0.5000 0.0000 0.0000
Sc 0.7855 0.8745 0.5544
Sc 0.2854 0.6536 0.7756
Sc 0.0608 0.6058 0.2726
Sc 0.2145 0.1255 0.4456
Tm 0.0000 0.0000 0.0000

Values from the calculation:
density	5.22	g cm⁻³
formation energy from the elements	-0.06	eV/atom
raw total energy	-5.0393	eV per atom
M_tot	0.01	Bohr magnetons per cell

Entry 8:
Computed, not measured: crystalline Tm5Sc3In3 at its relaxed geometry at the PBE level of DFT.

Unit cell a=10.4753 b=10.4753 c=3.2289 alpha=90.00 beta=90.00 gamma=120.00
Fractional coordinates of all 11 atoms:
Sc 0.0000 0.8370 0.5000
Sc 0.1630 0.1630 0.5000
Sc 0.8370 0.0000 0.5000
Tm 0.6593 0.6593 0.5000
Tm 0.3407 0.0000 0.5000
Tm 0.3333 0.6667 0.5000
Tm 0.6667 0.3333 0.5000
Tm 0.0000 0.3407 0.5000
In 0.0000 0.5947 0.0000
In 0.4053 0.4053 0.0000
In 0.5947 0.0000 0.0000

Values from the calculation:
density	7.17	g cm⁻³
formation energy from the elements	0.14	eV/atom
raw total energy	-4.3613	eV per atom
M_tot	0.25	Bohr magnetons per cell